# 1
VASP calculation (PBE) on a relaxed CdBiIO2 crystal.

Properties
As for the total magnetic moment: 0.001 μB per formula unit. The calculated total energy is -15.2 eV/f.u. As for the density of states at the Fermi level: 0.745 states/eV/atom. The value obtained for the uncorrected formation energy is 0.20 eV per atom.

abc: 4.446 4.446 5.628
angles: 90.00 90.00 90.00
Fractional coordinates of all 5 atoms:
Cd 0.000 0.000 0.000
Bi 0.500 0.500 0.500
I 0.000 0.000 0.500
O 0.000 0.500 0.000
O 0.500 0.000 0.000

***

# 2
VASP calculation (PBE) on a relaxed CdBiI2O crystal.

Properties
As for the total magnetic moment: 0.000 μB per formula unit. The calculated total energy is -12.9 eV/f.u. As for the density of states at the Fermi level: 1.520 states/eV/atom. The value obtained for the uncorrected formation energy is -0.01 eV per atom.

abc: 6.052 6.052 4.045
angles: 90.00 90.00 90.00
Fractional coordinates of all 5 atoms:
Cd 0.000 0.000 0.000
Bi 0.500 0.500 0.500
I 0.000 0.500 0.000
I 0.500 0.000 0.000
O 0.000 0.000 0.500

***

# 3
VASP calculation (PBE) on a relaxed CdBiIO2 crystal.

Properties
As for the total magnetic moment: 0.000 μB per formula unit. The calculated total energy is -17.9 eV/f.u. As for the density of states at the Fermi level: 0.261 states/eV/atom. The value obtained for the uncorrected formation energy is -0.32 eV per atom.

abc: 4.339 4.339 6.814
angles: 90.00 90.00 90.00
Fractional coordinates of all 5 atoms:
Cd 0.000 0.000 0.000
Bi 0.500 0.500 0.500
I 0.500 0.500 0.000
O 0.000 0.500 0.500
O 0.500 0.000 0.500